# 1
This record from the Alexandria database describes a relaxed structure of MnBr. The functional is GGA-PBE.

## Properties
The calculation puts the calculated volume at 28.11 Å³ per atom. Its space group is I4/m, No. 87. As for the mass density: 4.0 g cm⁻³. As for the density of states at the Fermi level: 1.2 states/eV/f.u. Its formation energy from raw total energies is -0.093 eV per atom.

```
data_MnBr
_cell_length_a 8.137
_cell_length_b 8.137
_cell_length_c 8.137
_cell_angle_alpha 92.75
_cell_angle_beta 92.75
_cell_angle_gamma 154.67
_space_group_name_H-M_alt 'P 1'
_space_group_IT_number 1
loop_
_space_group_symop_operation_xyz
'x,y,z'
loop_
_atom_site_label
_atom_site_type_symbol
_atom_site_fract_x
_atom_site_fract_y
_atom_site_fract_z
_atom_site_occupancy
Mn1 Mn 0.063 0.581 0.643 1
Mn2 Mn 0.419 0.063 0.482 1
Mn3 Mn 0.581 0.937 0.518 1
Mn4 Mn 0.937 0.419 0.357 1
Br1 Br 0.237 0.437 0.674 1
Br2 Br 0.437 0.763 0.200 1
Br3 Br 0.563 0.237 0.800 1
Br4 Br 0.763 0.563 0.326 1
```

=====

# 2
This record from the Alexandria database describes a relaxed structure of RbSr2TlPd. The functional is GGA-PBE.

## Properties
The calculation puts the calculated volume at 40.22 Å³ per atom. Its space group is P4/mmm, No. 123. The formation energy is -0.213 eV per atom. As for the mass density: 4.7 g cm⁻³. As for the density of states at the Fermi level: 4.7 states/eV/f.u.

```
data_RbSr2TlPd
_cell_length_a 6.045
_cell_length_b 6.045
_cell_length_c 5.503
_cell_angle_alpha 90.00
_cell_angle_beta 90.00
_cell_angle_gamma 90.00
_space_group_name_H-M_alt 'P 1'
_space_group_IT_number 1
loop_
_space_group_symop_operation_xyz
'x,y,z'
loop_
_atom_site_label
_atom_site_type_symbol
_atom_site_fract_x
_atom_site_fract_y
_atom_site_fract_z
_atom_site_occupancy
Rb1 Rb 0.000 0.000 0.000 1
Sr1 Sr 0.000 0.500 0.500 1
Sr2 Sr 0.500 0.000 0.500 1
Tl1 Tl 0.500 0.500 0.000 1
Pd1 Pd 0.500 0.500 0.500 1
```

=====

# 3
This record from the Alexandria database describes a relaxed structure of HgGePb. The functional is GGA-PBE.

## Properties
The calculation puts the calculated volume at 26.81 Å³ per atom. Its space group is C2/m, No. 12. The formation energy is 0.118 eV per atom. As for the mass density: 9.9 g cm⁻³. As for the density of states at the Fermi level: 1.0 states/eV/f.u. The calculation puts the energy relative to the lowest polymorph listed for this composition at 0.0 meV per atom.

```
data_HgGePb
_cell_length_a 7.364
_cell_length_b 7.364
_cell_length_c 6.054
_cell_angle_alpha 104.38
_cell_angle_beta 104.38
_cell_angle_gamma 30.47
_space_group_name_H-M_alt 'P 1'
_space_group_IT_number 1
loop_
_space_group_symop_operation_xyz
'x,y,z'
loop_
_atom_site_label
_atom_site_type_symbol
_atom_site_fract_x
_atom_site_fract_y
_atom_site_fract_z
_atom_site_occupancy
Hg1 Hg 0.040 0.040 0.274 1
Hg2 Hg 0.960 0.960 0.726 1
Ge1 Ge 0.296 0.296 0.632 1
Ge2 Ge 0.704 0.704 0.368 1
Pb1 Pb 0.350 0.350 0.158 1
Pb2 Pb 0.650 0.650 0.842 1
```

=====

# 4
This record from the Alexandria database describes a relaxed structure of NbHPt2. The functional is GGA-PBE.

## Properties
The calculation puts the calculated volume at 13.74 Å³ per atom. Its space group is R-3m, No. 166. As for the mass density: 14.6 g cm⁻³. As for the density of states at the Fermi level: 4.0 states/eV/f.u. The calculation puts the energy relative to the lowest polymorph listed for this composition at 301.4 meV per atom.

```
data_NbHPt2
_cell_length_a 7.997
_cell_length_b 7.997
_cell_length_c 7.997
_cell_angle_alpha 20.51
_cell_angle_beta 20.51
_cell_angle_gamma 20.51
_space_group_name_H-M_alt 'P 1'
_space_group_IT_number 1
loop_
_space_group_symop_operation_xyz
'x,y,z'
loop_
_atom_site_label
_atom_site_type_symbol
_atom_site_fract_x
_atom_site_fract_y
_atom_site_fract_z
_atom_site_occupancy
Nb1 Nb 0.000 0.000 0.000 1
H1 H 0.500 0.500 0.500 1
Pt1 Pt 0.110 0.110 0.110 1
Pt2 Pt 0.890 0.890 0.890 1
```

=====

# 5
This record from the Alexandria database describes a relaxed structure of Zr2Al2Cu. The functional is GGA-PBE.

## Properties
The calculation puts the calculated volume at 18.85 Å³ per atom. Its space group is P-3m1, No. 164. The formation energy is -0.073 eV per atom. As for the mass density: 5.3 g cm⁻³. As for the density of states at the Fermi level: 3.8 states/eV/f.u. The calculation puts the energy relative to the lowest polymorph listed for this composition at 343.2 meV per atom.

```
data_Zr2Al2Cu
_cell_length_a 4.092
_cell_length_b 4.092
_cell_length_c 6.499
_cell_angle_alpha 90.00
_cell_angle_beta 90.00
_cell_angle_gamma 120.00
_space_group_name_H-M_alt 'P 1'
_space_group_IT_number 1
loop_
_space_group_symop_operation_xyz
'x,y,z'
loop_
_atom_site_label
_atom_site_type_symbol
_atom_site_fract_x
_atom_site_fract_y
_atom_site_fract_z
_atom_site_occupancy
Zr1 Zr 0.333 0.667 0.150 1
Zr2 Zr 0.667 0.333 0.850 1
Al1 Al 0.333 0.667 0.619 1
Al2 Al 0.667 0.333 0.381 1
Cu1 Cu 0.000 0.000 0.500 1
```

=====

# 6
This record from the Alexandria database describes a relaxed structure of PmSm2Au4. The functional is GGA-PBE.

## Properties
The calculation puts the calculated volume at 26.32 Å³ per atom. Its space group is I4/mmm, No. 139. The formation energy is -0.662 eV per atom. As for the mass density: 11.1 g cm⁻³. As for the density of states at the Fermi level: 5.4 states/eV/f.u.

```
data_PmSm2Au4
_cell_length_a 7.550
_cell_length_b 7.550
_cell_length_c 7.550
_cell_angle_alpha 138.89
_cell_angle_beta 138.89
_cell_angle_gamma 59.54
_space_group_name_H-M_alt 'P 1'
_space_group_IT_number 1
loop_
_space_group_symop_operation_xyz
'x,y,z'
loop_
_atom_site_label
_atom_site_type_symbol
_atom_site_fract_x
_atom_site_fract_y
_atom_site_fract_z
_atom_site_occupancy
Pm1 Pm 0.000 0.000 0.000 1
Sm1 Sm 0.276 0.276 0.000 1
Sm2 Sm 0.724 0.724 0.000 1
Au1 Au 0.121 0.621 0.500 1
Au2 Au 0.379 0.879 0.500 1
Au3 Au 0.621 0.121 0.500 1
Au4 Au 0.879 0.379 0.500 1
```

=====

# 7
This record from the Alexandria database describes a relaxed structure of Rb3PmSm2S6. The functional is GGA-PBE.

## Properties
The calculation puts the calculated volume at 29.14 Å³ per atom. Its space group is C2/m, No. 12. As for the mass density: 4.2 g cm⁻³. As for the density of states at the Fermi level: 0.0 states/eV/f.u. Its formation energy from raw total energies is -1.836 eV per atom.

```
data_Rb3PmSm2S6
_cell_length_a 7.236
_cell_length_b 7.236
_cell_length_c 8.080
_cell_angle_alpha 98.58
_cell_angle_beta 98.58
_cell_angle_gamma 120.00
_space_group_name_H-M_alt 'P 1'
_space_group_IT_number 1
loop_
_space_group_symop_operation_xyz
'x,y,z'
loop_
_atom_site_label
_atom_site_type_symbol
_atom_site_fract_x
_atom_site_fract_y
_atom_site_fract_z
_atom_site_occupancy
Rb1 Rb 0.000 0.000 0.000 1
Rb2 Rb 0.333 0.667 0.000 1
Rb3 Rb 0.667 0.333 0.000 1
Pm1 Pm 0.500 0.500 0.500 1
Sm1 Sm 0.167 0.833 0.500 1
Sm2 Sm 0.833 0.167 0.500 1
S1 S 0.100 0.435 0.304 1
S2 S 0.231 0.231 0.696 1
S3 S 0.435 0.100 0.304 1
S4 S 0.565 0.900 0.696 1
S5 S 0.769 0.769 0.304 1
S6 S 0.900 0.565 0.696 1
```

=====

# 8
This record from the Alexandria database describes a relaxed structure of PaMn. The functional is GGA-PBE.

## Properties
The calculation puts the calculated volume at 17.81 Å³ per atom. Its space group is P2_1/m, No. 11. The formation energy is 0.221 eV per atom. As for the mass density: 13.3 g cm⁻³. As for the density of states at the Fermi level: 3.5 states/eV/f.u.

```
data_PaMn
_cell_length_a 2.913
_cell_length_b 3.976
_cell_length_c 6.153
_cell_angle_alpha 90.00
_cell_angle_beta 91.84
_cell_angle_gamma 90.00
_space_group_name_H-M_alt 'P 1'
_space_group_IT_number 1
loop_
_space_group_symop_operation_xyz
'x,y,z'
loop_
_atom_site_label
_atom_site_type_symbol
_atom_site_fract_x
_atom_site_fract_y
_atom_site_fract_z
_atom_site_occupancy
Pa1 Pa 0.041 0.250 0.175 1
Pa2 Pa 0.959 0.750 0.825 1
Mn1 Mn 0.308 0.250 0.562 1
Mn2 Mn 0.692 0.750 0.438 1
```

=====

# 9
This record from the Alexandria database describes a relaxed structure of CaGdYTm. The functional is GGA-PBE.

## Properties
The calculation puts the calculated volume at 33.47 Å³ per atom. Its space group is F-43m, No. 216. The formation energy is 0.148 eV per atom. As for the mass density: 5.6 g cm⁻³. As for the density of states at the Fermi level: 7.3 states/eV/f.u.

```
data_CaGdYTm
_cell_length_a 5.742
_cell_length_b 5.742
_cell_length_c 5.742
_cell_angle_alpha 60.00
_cell_angle_beta 60.00
_cell_angle_gamma 60.00
_space_group_name_H-M_alt 'P 1'
_space_group_IT_number 1
loop_
_space_group_symop_operation_xyz
'x,y,z'
loop_
_atom_site_label
_atom_site_type_symbol
_atom_site_fract_x
_atom_site_fract_y
_atom_site_fract_z
_atom_site_occupancy
Ca1 Ca 0.000 0.000 0.000 1
Gd1 Gd 0.750 0.750 0.750 1
Y1 Y 0.250 0.250 0.250 1
Tm1 Tm 0.500 0.500 0.500 1
```

=====

# 10
This record from the Alexandria database describes a relaxed structure of ScReAg2. The functional is GGA-PBE.

## Properties
The calculation puts the calculated volume at 17.77 Å³ per atom. Its space group is Imm2, No. 44. The formation energy is 0.366 eV per atom. As for the mass density: 10.4 g cm⁻³. As for the density of states at the Fermi level: 3.1 states/eV/f.u. The calculation puts the energy relative to the lowest polymorph listed for this composition at 169.5 meV per atom.

```
data_ScReAg2
_cell_length_a 5.662
_cell_length_b 5.662
_cell_length_c 5.662
_cell_angle_alpha 150.17
_cell_angle_beta 127.46
_cell_angle_gamma 61.60
_space_group_name_H-M_alt 'P 1'
_space_group_IT_number 1
loop_
_space_group_symop_operation_xyz
'x,y,z'
loop_
_atom_site_label
_atom_site_type_symbol
_atom_site_fract_x
_atom_site_fract_y
_atom_site_fract_z
_atom_site_occupancy
Sc1 Sc 0.000 0.000 0.000 1
Re1 Re 0.760 0.260 0.500 1
Ag1 Ag 0.261 0.761 0.500 1
Ag2 Ag 0.510 0.510 0.000 1
```